[1]
## CrCo4Sb (PBE-GGA)

Data for crystalline CrCo4Sb at its relaxed geometry.

Formation energy from raw total energies (eV per atom): 0.221
Theoretical density (g/cm3): 8.71

Unit cell a=4.7976 b=4.7976 c=4.7976 alpha=60.00 beta=60.00 gamma=60.00
With the nearest neighbours (Å) after each atom.
Positions (direct):
Cr 0.0000 0.0000 0.0000  12 Co 2.81, 4 Sb 2.94
Co 0.3746 0.3746 0.3746  6 Co 2.39-2.41
Co 0.3746 0.3746 0.8763  6 Co 2.39-2.41
Co 0.3746 0.8763 0.3746  6 Co 2.39-2.41
Co 0.8763 0.3746 0.3746  6 Co 2.39-2.41
Sb 0.7500 0.7500 0.7500  12 Co 2.81, 4 Cr 2.94

=====

[2]
## Cr2Co2Sb (PBE-GGA)

Data for crystalline Cr2Co2Sb at its relaxed geometry.

Formation energy from raw total energies (eV per atom): 0.318
Theoretical density (g/cm3): 8.37

Unit cell a=6.8301 b=6.8301 c=2.9224 alpha=90.00 beta=90.00 gamma=90.00
With the nearest neighbours (Å) after each atom.
Positions (direct):
Cr 0.1602 0.3398 0.0000  6 Co 2.46-2.52
Cr 0.3398 0.8398 0.0000  6 Co 2.46-2.52
Cr 0.6602 0.1602 0.0000  6 Co 2.46-2.52
Cr 0.8398 0.6602 0.0000  6 Co 2.46-2.52
Co 0.1278 0.6278 0.5000  6 Cr 2.46-2.52, 1 Co 2.47, 2 Sb 2.69
Co 0.3722 0.1278 0.5000  6 Cr 2.46-2.52, 1 Co 2.47, 2 Sb 2.69
Co 0.6278 0.8722 0.5000  6 Cr 2.46-2.52, 1 Co 2.47, 2 Sb 2.69
Co 0.8722 0.3722 0.5000  6 Cr 2.46-2.52, 1 Co 2.47, 2 Sb 2.69
Sb 0.0000 0.0000 0.5000  4 Co 2.69, 2 Sb 2.92, 8 Cr 2.95
Sb 0.5000 0.5000 0.5000  4 Co 2.69, 2 Sb 2.92, 8 Cr 2.95

=====

[3]
## CrCo2Sb (PBE-GGA)

Data for crystalline CrCo2Sb at its relaxed geometry.

Formation energy from raw total energies (eV per atom): 0.543
Theoretical density (g/cm3): 8.45

Unit cell a=2.9088 b=2.9088 c=23.4661 alpha=90.00 beta=90.00 gamma=120.00
With the nearest neighbours (Å) after each atom.
Positions (direct):
Cr 0.0000 0.0000 0.0000  6 Co 2.46
Cr 0.3333 0.6667 0.6667  6 Co 2.46
Cr 0.6667 0.3333 0.3333  6 Co 2.46
Co 0.0000 0.0000 0.2566  3 Cr 2.46, 3 Sb 2.70
Co 0.0000 0.0000 0.7434  3 Cr 2.46, 3 Sb 2.70
Co 0.3333 0.6667 0.4101  3 Cr 2.46, 3 Sb 2.70
Co 0.3333 0.6667 0.9233  3 Cr 2.46, 3 Sb 2.70
Co 0.6667 0.3333 0.0767  3 Cr 2.46, 3 Sb 2.70
Co 0.6667 0.3333 0.5899  3 Cr 2.46, 3 Sb 2.70
Sb 0.0000 0.0000 0.5000  6 Co 2.70, 6 Sb 2.91
Sb 0.3333 0.6667 0.1667  6 Co 2.70, 6 Sb 2.91
Sb 0.6667 0.3333 0.8333  6 Co 2.70, 6 Sb 2.91

=====

[4]
## CrCo2Sb (PBE-GGA)

Data for crystalline CrCo2Sb at its relaxed geometry.

Formation energy from raw total energies (eV per atom): 0.268
Theoretical density (g/cm3): 8.77

Unit cell a=3.0247 b=4.2767 c=4.2705 alpha=90.00 beta=90.00 gamma=90.00
With the nearest neighbours (Å) after each atom.
Positions (direct):
Cr 0.0000 0.0000 0.0000  6 Co 2.51-2.73, 4 Sb 2.74
Co 0.0000 0.5000 0.3104  2 Cr 2.52, 4 Sb 2.61-2.63, 4 Co 2.70
Co 0.5000 0.0000 0.4684  4 Cr 2.51-2.73, 2 Sb 2.60, 4 Co 2.70
Sb 0.5000 0.5000 0.8128  6 Co 2.60-2.63, 4 Cr 2.74

=====

[5]
## CrCo2Sb2 (PBE-GGA)

Data for crystalline CrCo2Sb2 at its relaxed geometry.

Formation energy from raw total energies (eV per atom): 0.397
Theoretical density (g/cm3): 8.89

Unit cell a=6.6688 b=6.6688 c=3.4727 alpha=90.00 beta=90.00 gamma=90.00
With the nearest neighbours (Å) after each atom.
Positions (direct):
Cr 0.0000 0.0000 0.0000  4 Co 2.63
Cr 0.5000 0.5000 0.0000  4 Co 2.63
Co 0.1259 0.3741 0.0000  1 Co 2.37, 2 Sb 2.54, 2 Cr 2.63
Co 0.3741 0.8741 0.0000  1 Co 2.37, 2 Sb 2.54, 2 Cr 2.63
Co 0.6259 0.1259 0.0000  1 Co 2.37, 2 Sb 2.54, 2 Cr 2.63
Co 0.8741 0.6259 0.0000  1 Co 2.37, 2 Sb 2.54, 2 Cr 2.63
Sb 0.1769 0.6769 0.5000  6 Co 2.54-2.68
Sb 0.3231 0.1769 0.5000  6 Co 2.54-2.68
Sb 0.6769 0.8231 0.5000  6 Co 2.54-2.68
Sb 0.8231 0.3231 0.5000  6 Co 2.54-2.68

=====

[6]
## CrCoSb (PBE-GGA)

Data for crystalline CrCoSb at its relaxed geometry.

Formation energy from raw total energies (eV per atom): 0.326
Theoretical density (g/cm3): 8.11

Unit cell a=3.4213 b=3.4213 c=8.1448 alpha=90.00 beta=90.00 gamma=90.00
With the nearest neighbours (Å) after each atom.
Positions (direct):
Cr 0.0000 0.0000 0.0000  5 Sb 2.67-2.79, 5 Co 2.74-2.76
Cr 0.5000 0.5000 0.5000  5 Sb 2.67-2.79, 5 Co 2.74-2.76
Co 0.0000 0.0000 0.3368  5 Sb 2.73-2.77, 5 Cr 2.74-2.76
Co 0.5000 0.5000 0.8368  5 Sb 2.73-2.77, 5 Cr 2.74-2.76
Sb 0.0000 0.0000 0.6717  5 Cr 2.67-2.79, 5 Co 2.73-2.77
Sb 0.5000 0.5000 0.1717  5 Cr 2.67-2.79, 5 Co 2.73-2.77